# Fe4AgIr PBE relaxed
data_Fe4AgIr
_symmetry_space_group_name_H-M 'F -4 3 m'
_symmetry_Int_Tables_number 216
_symmetry_space_group_name_Hall 'F -4 2 3'
_cell_length_a 6.791
_cell_length_b 6.791
_cell_length_c 6.791
_cell_angle_alpha 90.00
_cell_angle_beta 90.00
_cell_angle_gamma 90.00
loop_
_atom_site_label
_atom_site_type_symbol
_atom_site_fract_x
_atom_site_fract_y
_atom_site_fract_z
Fe1 Fe 0.125 0.125 0.125
Ag1 Ag 0.000 0.000 0.500
Ir1 Ir 0.250 0.250 0.750
# E_form: 1.1 eV per formula unit